(1)
Entry from the Alexandria database: CoSb2Ru after structural relaxation (GGA-PBE).

Results
- Offset from the most stable computed form: 0.0883 eV/atom
- DOS at the Fermi energy: 4.17 states/eV per cell
- Volume: 78.12 Å³/cell
- Formation energy (no corrections): 0.124 eV/atom
- Total magnetic moment: 0.9 μB/f.u.

Lattice parameters (Å, degrees): 3.1505 3.1505 7.8706 90.00 90.00 90.00
Element x y z (fractional)
Co (0.0000, 0.0000, 0.0000)
Sb (0.0000, 0.0000, 0.3978)
Sb (0.5000, 0.5000, 0.8194)
Ru (0.5000, 0.5000, 0.1976)

(2)
Entry from the Alexandria database: Co2SbRu after structural relaxation (GGA-PBE).

Results
- DOS at the Fermi energy: 4.71 states/eV per cell
- Volume: 55.80 Å³/cell
- Formation energy (no corrections): 0.218 eV/atom
- Total magnetic moment: 1.4 μB/f.u.

Lattice parameters (Å, degrees): 4.4881 4.4881 4.5675 101.95 101.95 38.44
Element x y z (fractional)
Co (0.0000, 0.0000, 0.0000)
Co (0.7433, 0.7433, 0.2183)
Sb (0.4945, 0.4945, 0.4750)
Ru (0.2526, 0.2526, 0.7742)

(3)
Entry from the Alexandria database: CoSb2Ru after structural relaxation (GGA-PBE).

Results
- Offset from the most stable computed form: 0.3293 eV/atom
- DOS at the Fermi energy: 3.53 states/eV per cell
- Volume: 85.11 Å³/cell
- Formation energy (no corrections): 0.365 eV/atom
- Total magnetic moment: 1.4 μB/f.u.

Lattice parameters (Å, degrees): 10.1494 10.1494 10.1494 17.78 17.78 17.78
Element x y z (fractional)
Co (0.0000, 0.0000, 0.0000)
Sb (0.5356, 0.5356, 0.5356)
Sb (0.7282, 0.7282, 0.7282)
Ru (0.2679, 0.2679, 0.2679)

(4)
Entry from the Alexandria database: Co4SbRu after structural relaxation (GGA-PBE).

Results
- DOS at the Fermi energy: 8.69 states/eV per cell
- Volume: 78.16 Å³/cell
- Formation energy (no corrections): 0.229 eV/atom
- Total magnetic moment: 7.3 μB/f.u.

Lattice parameters (Å, degrees): 4.7992 4.7992 4.7992 60.00 60.00 60.00
Element x y z (fractional)
Co (0.1252, 0.1252, 0.1252)
Co (0.1252, 0.1252, 0.6243)
Co (0.1252, 0.6243, 0.1252)
Co (0.6243, 0.1252, 0.1252)
Sb (0.7500, 0.7500, 0.7500)
Ru (0.5000, 0.5000, 0.5000)

(5)
Entry from the Alexandria database: Co2SbRu after structural relaxation (GGA-PBE).

Results
- DOS at the Fermi energy: 5.83 states/eV per cell
- Volume: 56.33 Å³/cell
- Formation energy (no corrections): 0.147 eV/atom
- Total magnetic moment: 3.5 μB/f.u.

Lattice parameters (Å, degrees): 4.3029 4.3029 4.3029 60.00 60.00 60.00
Element x y z (fractional)
Co (0.0000, 0.0000, 0.0000)
Co (0.2500, 0.2500, 0.2500)
Sb (0.5000, 0.5000, 0.5000)
Ru (0.7500, 0.7500, 0.7500)

(6)
Entry from the Alexandria database: Co2SbRu after structural relaxation (GGA-PBE).

Results
- DOS at the Fermi energy: 6.92 states/eV per cell
- Volume: 125.63 Å³/cell
- Formation energy (no corrections): 0.534 eV/atom
- Total magnetic moment: 3.4 μB/f.u.

Lattice parameters (Å, degrees): 9.2313 9.2313 9.2313 156.43 156.43 33.57
Element x y z (fractional)
Co (0.0858, 0.6250, 0.9608)
Co (0.3750, 0.3358, 0.4608)
Co (0.6642, 0.1250, 0.0392)
Co (0.8750, 0.9142, 0.5392)
Sb (0.2500, 0.7500, 0.5000)
Sb (0.5000, 0.5000, 0.0000)
Ru (0.0000, 0.0000, 0.0000)
Ru (0.7500, 0.2500, 0.5000)

Among the records above, which one has the highest total magnetic moment?
Co4SbRu

total magnetic moment of number 3 (CoSb2Ru)?
1.4 μB/f.u.

Among the records above, which one has the highest formation energy (no corrections)?
number 6

DOS at the Fermi energy of number 4 (Co4SbRu)?
8.69 states/eV per cell